The following is a DFT calculation (PBE) of a relaxed YHfB3 crystal.

Results
N(E_F) = 0.84 states/eV/f.u.
total magnetization = 0.000 μB/atom
formation energy = 0.6575 eV/atom
energy above the most stable polymorph in this dataset = 0.0 meV per atom

Unit cell a=4.3494 b=4.3494 c=4.3494 alpha=90.00 beta=90.00 gamma=90.00
Closest atoms and distances in Å follow each position.
Space group Pm-3m (No. 221)
One atom of each set of equivalent atoms:
Y1 0.0000 0.0000 0.0000 (multiplicity 1)  12 B 3.08
Hf1 0.5000 0.5000 0.5000 (multiplicity 1)  6 B 2.17
B1 0.0000 0.5000 0.5000 (multiplicity 3)  2 Hf 2.17